Entry i
AcLa6Hg (PBE, relaxed); N(E_F) = 11.28 states/eV/cell; space group = No. 2
1.0
6.658 0.000 0.000
-0.876 6.604 0.000
-0.885 -0.987 6.529
Ac La Hg
1 6 1
Cartesian
0.000 0.000 0.000
-0.388 1.230 3.630
1.255 3.624 0.335
1.478 5.543 4.773
3.419 0.073 1.756
3.642 1.992 6.195
5.285 4.386 2.899
2.449 2.808 3.265

Entry ii
AcLa6Hg (PBE, relaxed); N(E_F) = 11.56 states/eV/cell; space group = No. 123
1.0
5.164 0.000 0.000
0.000 5.164 0.000
0.000 0.000 10.456
Ac La Hg
1 6 1
Cartesian
0.000 0.000 0.000
0.000 2.582 2.728
0.000 2.582 7.728
2.582 0.000 2.728
2.582 0.000 7.728
2.582 2.582 0.000
2.582 2.582 5.228
0.000 0.000 5.228

It is entry ii that is the most stable of them.

Entry i
AcLa3Hg (PBE, relaxed); N(E_F) = 13.77 states/eV/cell; space group = No. 2
1.0
3.902 0.000 0.000
0.006 9.134 0.000
1.949 2.336 9.909
Ac La Hg
2 6 2
Cartesian
0.983 1.064 3.059
4.874 10.406 6.850
2.925 3.687 9.015
2.926 7.678 8.666
2.934 7.618 5.011
2.922 3.852 4.897
2.931 3.793 1.242
2.932 7.783 0.893
0.978 5.942 2.856
4.879 5.528 7.053

Entry ii
AcLa3Hg (PBE, relaxed); N(E_F) = 6.38 states/eV/cell; space group = No. 44
1.0
-2.543 2.551 6.923
2.543 -2.551 6.923
2.543 2.551 -6.923
Ac La Hg
1 3 1
Cartesian
0.000 0.000 0.000
2.543 0.000 3.597
0.000 0.000 8.605
0.000 2.551 3.604
0.000 0.000 5.582

It is entry i that is the most stable of them.